1.
A plane-wave DFT calculation with PBE was carried out for crystalline Hf4IrRu3 at its relaxed geometry.

Results
Calculated formation energy ... -6.68 eV/f.u.
DOS(E_F) ... 0.540 states/eV per atom
Total moment ... 0.0 Bohr magnetons per cell

Geometry as CIF:
```
data_Hf4IrRu3
_cell_length_a 3.276
_cell_length_b 4.579
_cell_length_c 9.153
_cell_angle_alpha 90.00
_cell_angle_beta 90.00
_cell_angle_gamma 90.00
_symmetry_space_group_name_H-M 'P m m m'
_symmetry_Int_Tables_number 47
loop_
_symmetry_equiv_pos_as_xyz
'x,y,z'
'-x,-y,-z'
'-x,-y,z'
'x,y,-z'
'x,-y,-z'
'-x,y,z'
'-x,y,-z'
'x,-y,z'
loop_
_atom_site_label
_atom_site_type_symbol
_atom_site_fract_x
_atom_site_fract_y
_atom_site_fract_z
_atom_site_occupancy
Hf1 Hf 0.000 0.000 0.000 1
Hf2 Hf 0.000 0.000 0.500 1
Hf3 Hf 0.000 0.500 0.248 1
Ir1 Ir 0.500 0.500 0.500 1
Ru1 Ru 0.500 0.000 0.251 1
Ru2 Ru 0.500 0.500 0.000 1
```



2.
A plane-wave DFT calculation with PBE was carried out for crystalline ScH2Pd at its relaxed geometry.

Results
Raw total energy ... -60.350 eV per cell
DOS(E_F) ... 0.570 states/eV per atom
Total moment ... 0.0 Bohr magnetons per cell

Geometry as CIF:
```
data_ScH2Pd
_cell_length_a 3.3629
_cell_length_b 3.3629
_cell_length_c 13.8150
_cell_angle_alpha 90.00
_cell_angle_beta 90.00
_cell_angle_gamma 120.00
_symmetry_space_group_name_H-M 'R -3 m'
_symmetry_Int_Tables_number 166
_symmetry_space_group_name_Hall '-R 3 2"'
loop_
_atom_site_label
_atom_site_type_symbol
_atom_site_fract_x
_atom_site_fract_y
_atom_site_fract_z
_atom_site_occupancy
Sc1 Sc 0.0000 0.0000 0.0000 1
H1 H 0.0000 0.0000 0.3736 1
Pd1 Pd 0.0000 0.0000 0.5000 1
```



3.
A plane-wave DFT calculation with PBE was carried out for crystalline Li2CdSb at its relaxed geometry.

Results
DOS(E_F) ... 0.753 states/eV per atom
Total moment ... 0.0 Bohr magnetons per cell
Formation energy from raw total energies ... -0.264 eV/atom

Geometry as CIF:
```
data_Li2CdSb
_cell_length_a 7.015
_cell_length_b 7.015
_cell_length_c 7.015
_cell_angle_alpha 90.00
_cell_angle_beta 90.00
_cell_angle_gamma 90.00
_symmetry_space_group_name_H-M 'F -4 3 m'
_symmetry_Int_Tables_number 216
_symmetry_space_group_name_Hall 'F -4 2 3'
loop_
_atom_site_label
_atom_site_type_symbol
_atom_site_fract_x
_atom_site_fract_y
_atom_site_fract_z
_atom_site_occupancy
Li1 Li 0.000 0.000 0.000 1
Li2 Li 0.250 0.250 0.250 1
Cd1 Cd 0.000 0.000 0.500 1
Sb1 Sb 0.250 0.250 0.750 1
```



4.
A plane-wave DFT calculation with PBE was carried out for crystalline LiZn2Ag at its relaxed geometry.

Results
Calculated formation energy ... -0.55 eV/f.u.
DOS(E_F) ... 0.151 states/eV per atom
Total moment ... 0.0 Bohr magnetons per cell

Geometry as CIF:
```
data_LiZn2Ag
_cell_length_a 3.099
_cell_length_b 3.099
_cell_length_c 6.303
_cell_angle_alpha 90.00
_cell_angle_beta 90.00
_cell_angle_gamma 90.00
_symmetry_space_group_name_H-M 'P 4 m m'
_symmetry_Int_Tables_number 99
loop_
_symmetry_equiv_pos_as_xyz
'x,y,z'
'-y,x,z'
'-x,-y,z'
'y,-x,z'
'-x,y,z'
'y,x,z'
'x,-y,z'
'-y,-x,z'
loop_
_atom_site_label
_atom_site_type_symbol
_atom_site_fract_x
_atom_site_fract_y
_atom_site_fract_z
_atom_site_occupancy
Li1 Li 0.000 0.000 0.000 1
Zn1 Zn 0.000 0.000 0.481 1
Zn2 Zn 0.500 0.500 0.235 1
Ag1 Ag 0.500 0.500 0.751 1
```



5.
A plane-wave DFT calculation with PBE was carried out for crystalline Pu2SbPb at its relaxed geometry.

Results
DOS(E_F) ... 3.165 states/eV per atom
Total moment ... 11.8 Bohr magnetons per cell
Formation energy from raw total energies ... -0.373 eV/atom

Geometry as CIF:
```
data_Pu2SbPb
_cell_length_a 3.468
_cell_length_b 3.468
_cell_length_c 8.991
_cell_angle_alpha 90.00
_cell_angle_beta 90.00
_cell_angle_gamma 90.00
_symmetry_space_group_name_H-M 'P 4/m m m'
_symmetry_Int_Tables_number 123
_symmetry_space_group_name_Hall '-P 4 2'
loop_
_atom_site_label
_atom_site_type_symbol
_atom_site_fract_x
_atom_site_fract_y
_atom_site_fract_z
_atom_site_occupancy
Pu1 Pu 0.000 0.000 0.238 1
Sb1 Sb 0.500 0.500 0.000 1
Pb1 Pb 0.500 0.500 0.500 1
```



6.
A plane-wave DFT calculation with PBE was carried out for crystalline ZrMn2In at its relaxed geometry.

Results
Calculated formation energy ... 0.15 eV/f.u.
DOS(E_F) ... 0.675 states/eV per atom
Total moment ... 3.5 Bohr magnetons per cell

Geometry as CIF:
```
data_ZrMn2In
_cell_length_a 4.358
_cell_length_b 4.358
_cell_length_c 3.494
_cell_angle_alpha 90.00
_cell_angle_beta 90.00
_cell_angle_gamma 90.00
_symmetry_space_group_name_H-M 'P 4/m m m'
_symmetry_Int_Tables_number 123
_symmetry_space_group_name_Hall '-P 4 2'
loop_
_atom_site_label
_atom_site_type_symbol
_atom_site_fract_x
_atom_site_fract_y
_atom_site_fract_z
_atom_site_occupancy
Zr1 Zr 0.000 0.000 0.000 1
Mn1 Mn 0.000 0.500 0.500 1
In1 In 0.500 0.500 0.000 1
```



7.
A plane-wave DFT calculation with PBE was carried out for crystalline Zr2Sb2Te at its relaxed geometry.

Results
DOS(E_F) ... 0.949 states/eV per atom
Total moment ... 0.0 Bohr magnetons per cell
Formation energy from raw total energies ... -0.306 eV/atom

Geometry as CIF:
```
data_Zr2Sb2Te
_cell_length_a 4.208
_cell_length_b 4.208
_cell_length_c 14.637
_cell_angle_alpha 90.00
_cell_angle_beta 90.00
_cell_angle_gamma 90.00
_symmetry_space_group_name_H-M 'I 4/m m m'
_symmetry_Int_Tables_number 139
_symmetry_space_group_name_Hall '-I 4 2'
loop_
_atom_site_label
_atom_site_type_symbol
_atom_site_fract_x
_atom_site_fract_y
_atom_site_fract_z
_atom_site_occupancy
Zr1 Zr 0.000 0.000 0.105 1
Sb1 Sb 0.000 0.500 0.250 1
Te1 Te 0.000 0.000 0.500 1
```